Density functional theory data (GGA-PBE) for an optimized crystal structure of SrLiVN3.

M_tot ... 0.07 μB/f.u.
VASP energy ... -7.01 eV/atom
Density ... 4.2 g/cm3
DOS(E_F) ... 0.567 states/eV per atom
Calculated volume ... 74.3 Å³/f.u.
Crystal system ... monoclinic
E_form (uncorrected) ... -0.7288 eV per atom

a = 5.2803 Å, b = 5.5169 Å, c = 5.8489 Å
α = 61.86°, β = 85.92°, γ = 81.32°
Element x y z (fractional)
Sr (0.2500, 0.2668, 0.4664)
Sr (0.7500, 0.7332, 0.5336)
Li (0.2500, 0.5681, 0.8639)
Li (0.7500, 0.4319, 0.1361)
V (0.7500, 0.0522, 0.8957)
V (0.2500, 0.9478, 0.1043)
N (0.4891, 0.8059, 0.9289)
N (0.0109, 0.2652, 0.9289)
N (0.7500, 0.2243, 0.5514)
N (0.5109, 0.1941, 0.0711)
N (0.9891, 0.7348, 0.0711)
N (0.2500, 0.7757, 0.4486)